(1)
18
Lattice="8.7704 -2.8848 0.0000 8.7704 2.8848 0.0000 -6.4352 0.0000 9.0511" Properties=species:S:1:pos:R:3 comment="Tl4Hg3H2 PBE relaxed" sg="C2/c (15)" energy_ev_per_atom=-1.74 pbc="T T T"
Tl 2.6819 1.3058 3.6589
Tl 1.5071 1.4489 8.6795
Tl 6.3808 1.4489 4.8971
Tl 11.6413 1.3058 0.8666
Tl -0.5357 -1.3058 8.1845
Tl 4.7248 -1.4489 4.1540
Tl 9.5985 -1.4489 0.3715
Tl 8.4237 -1.3058 5.3921
Hg 3.9440 2.2183 6.7883
Hg 5.3496 0.8470 1.6195
Hg 8.9737 0.8470 2.9061
Hg 2.1319 -0.8470 6.1450
Hg 5.7560 -0.8470 7.4316
Hg 7.1616 -2.2183 2.2628
H 2.1677 0.3981 1.7434
H -1.0499 -0.3981 6.2690
H 12.1555 0.3981 2.7821
H 8.9379 -0.3981 7.3076

---

(2)
4
Lattice="1.7586 1.0153 9.0374 -1.7586 1.0153 9.0374 0.0000 -2.0306 9.0374" Properties=species:S:1:pos:R:3 comment="Tl2HgH PBE relaxed" sg="R3m (160)" de_polymorph_mev_per_atom=5 energy_ev_per_atom=-1.90 pbc="T T T"
Tl 0.0000 0.0000 0.0000
Tl 0.0000 0.0000 5.8132
Hg 0.0000 0.0000 11.8811
H 0.0000 0.0000 16.4292

---

(3)
7
Lattice="3.4416 0.0000 0.0000 1.5535 3.0913 0.0000 0.1474 0.0216 16.7168" Properties=species:S:1:pos:R:3 comment="Tl2Hg4H PBE relaxed" sg="P-1 (2)" energy_ev_per_atom=-1.21 pbc="T T T"
Tl 1.1047 0.6726 1.4994
Tl 4.0378 2.4403 15.2174
Hg 0.8005 0.4527 12.6115
Hg 2.4874 1.5001 10.2369
Hg 2.6551 1.6128 6.4800
Hg 4.3420 2.6602 4.1053
H 2.5712 1.5564 8.3584

---

(4)
12
Lattice="5.3956 -4.9371 0.0000 5.3956 4.9371 0.0000 -2.7996 0.0000 5.2750" Properties=species:S:1:pos:R:3 comment="TlHg3H2 PBE relaxed" sg="C2/c (15)" energy_ev_per_atom=-1.42 pbc="T T T"
Tl 3.2959 4.0165 3.9562
Tl 4.6957 -4.0165 1.3187
Hg 4.6957 2.5844 1.3187
Hg 1.9438 0.8075 4.0035
Hg 3.3436 -0.8075 1.3660
Hg 4.6481 0.8075 3.9090
Hg 6.0479 -0.8075 1.2715
Hg 3.2959 -2.5844 3.9562
H 0.2306 0.8292 3.7875
H 1.6304 -0.8292 1.1500
H 6.3612 0.8292 4.1250
H 7.7610 -0.8292 1.4875

---

(5)
15
Lattice="4.7039 2.7158 3.7503 -4.7039 2.7158 3.7503 0.0000 -5.4316 3.7503" Properties=species:S:1:pos:R:3 comment="TlHg8H6 PBE relaxed" sg="R-3m (166)" energy_ev_per_atom=-1.38 pbc="T T T"
Tl 0.0000 0.0000 0.0000
Hg -1.5633 -2.7078 5.6254
Hg -3.1267 0.0000 5.6254
Hg 0.0000 0.0000 3.7223
Hg 1.5633 -2.7078 5.6254
Hg -1.5633 2.7078 5.6254
Hg 0.0000 0.0000 7.5285
Hg 3.1267 0.0000 5.6254
Hg 1.5633 2.7078 5.6254
H -1.5155 -2.8067 3.7503
H -3.1884 0.0909 3.7503
H 1.5155 -2.8067 3.7503
H -1.6730 2.7158 3.7503
H 3.1884 0.0909 3.7503
H 1.6730 2.7158 3.7503

---

(6)
5
Lattice="5.6762 0.0000 0.0000 0.0000 5.6762 0.0000 0.0000 0.0000 3.4355" Properties=species:S:1:pos:R:3 comment="TlZnHg2H PBE relaxed" sg="P4/mmm (123)" energy_ev_per_atom=-1.37 pbc="T T T"
Tl 0.0000 0.0000 0.0000
Zn 2.8381 2.8381 1.7177
Hg 0.0000 2.8381 1.7177
Hg 2.8381 0.0000 1.7177
H 2.8381 2.8381 0.0000

---

(7)
5
Lattice="4.8392 0.0000 0.0000 0.0000 4.8392 0.0000 0.0000 0.0000 4.0915" Properties=species:S:1:pos:R:3 comment="TlZn2HgH PBE relaxed" sg="P4/mmm (123)" energy_ev_per_atom=-1.32 pbc="T T T"
Tl 0.0000 0.0000 0.0000
Zn 0.0000 2.4196 2.0458
Zn 2.4196 0.0000 2.0458
Hg 2.4196 2.4196 0.0000
H 0.0000 0.0000 2.0458

---

(8)
5
Lattice="4.3747 0.0000 0.0000 0.0000 4.3747 0.0000 0.0000 0.0000 4.7452" Properties=species:S:1:pos:R:3 comment="Zr2TlHgH PBE relaxed" sg="P4/mmm (123)" de_polymorph_mev_per_atom=0 energy_ev_per_atom=-4.73 pbc="T T T"
Zr 0.0000 2.1874 0.0000
Zr 2.1874 0.0000 0.0000
Tl 0.0000 0.0000 2.3726
Hg 2.1874 2.1874 2.3726
H 2.1874 2.1874 0.0000

---

(9)
5
Lattice="5.3959 0.0000 0.0000 0.0000 5.3959 0.0000 0.0000 0.0000 5.5496" Properties=species:S:1:pos:R:3 comment="Zr2TlHgH PBE relaxed" sg="P4/mmm (123)" de_polymorph_mev_per_atom=1661 energy_ev_per_atom=-3.07 pbc="T T T"
Zr 0.0000 2.6979 0.0000
Zr 2.6979 0.0000 0.0000
Tl 0.0000 0.0000 2.7748
Hg 0.0000 0.0000 0.0000
H 2.6979 2.6979 2.7748

---

(10)
5
Lattice="4.7468 0.0000 0.0000 0.0000 4.7468 0.0000 0.0000 0.0000 4.7468" Properties=species:S:1:pos:R:3 comment="Tm3HgH PBE relaxed" sg="Pm-3m (221)" de_polymorph_mev_per_atom=40 energy_ev_per_atom=-3.67 pbc="T T T"
Tm 0.0000 0.0000 2.3734
Tm 0.0000 2.3734 0.0000
Tm 2.3734 0.0000 0.0000
Hg 2.3734 2.3734 2.3734
H 0.0000 0.0000 0.0000

---

(11)
10
Lattice="1.9040 -6.2955 0.0000 1.9040 6.2955 0.0000 0.0000 0.0000 8.6825" Properties=species:S:1:pos:R:3 comment="Tm2Hg2H PBE relaxed" sg="Cmc2_1 (36)" energy_ev_per_atom=-2.98 pbc="T T T"
Tm 1.9040 5.7449 4.3412
Tm 1.9040 1.7907 2.7918
Tm 1.9040 -1.7907 7.1330
Tm 1.9040 -5.7449 0.0000
Hg 1.9040 2.9146 0.1335
Hg 1.9040 1.4338 6.0388
Hg 1.9040 -1.4338 1.6975
Hg 1.9040 -2.9146 4.4747
H 1.9040 5.4975 6.7918
H 1.9040 -5.4975 2.4506

---

(12)
5
Lattice="-1.8403 1.8403 5.9598 1.8403 -1.8403 5.9598 1.8403 1.8403 -5.9598" Properties=species:S:1:pos:R:3 comment="Tm2HgH2 PBE relaxed" sg="I4/mmm (139)" energy_ev_per_atom=-3.83 pbc="T T T"
Tm 0.0000 0.0000 1.7953
Tm 0.0000 0.0000 10.1242
Hg 0.0000 0.0000 5.9598
H 1.8403 0.0000 2.9799
H 0.0000 1.8403 2.9799

---

(13)
3
Lattice="-1.5792 1.5792 5.5641 1.5792 -1.5792 5.5641 1.5792 1.5792 -5.5641" Properties=species:S:1:pos:R:3 comment="TmHgH PBE relaxed" sg="I4mm (107)" de_polymorph_mev_per_atom=408 energy_ev_per_atom=-2.84 pbc="T T T"
Tm 0.0000 0.0000 0.0000
Hg 0.0000 0.0000 3.0978
H 0.0000 0.0000 5.9859

---

(14)
3
Lattice="3.7042 0.0000 0.0000 -1.8521 3.2079 0.0000 0.0000 0.0000 4.6632" Properties=species:S:1:pos:R:3 comment="TmHgH PBE relaxed" sg="P-6m2 (187)" de_polymorph_mev_per_atom=142 energy_ev_per_atom=-3.10 pbc="T T T"
Tm 0.0000 0.0000 0.0000
Hg 1.8521 1.0693 2.3316
H 0.0000 2.1386 0.0000

---

(15)
4
Lattice="1.7840 1.0300 7.4767 -1.7840 1.0300 7.4767 0.0000 -2.0600 7.4767" Properties=species:S:1:pos:R:3 comment="Tm2HgH PBE relaxed" sg="R-3m (166)" de_polymorph_mev_per_atom=18 energy_ev_per_atom=-3.47 pbc="T T T"
Tm 0.0000 0.0000 5.0728
Tm 0.0000 0.0000 17.3574
Hg 0.0000 0.0000 0.0000
H 0.0000 0.0000 11.2151

---

(16)
18
Lattice="5.1877 2.9951 3.3907 -5.1877 2.9951 3.3907 0.0000 -5.9902 3.3907" Properties=species:S:1:pos:R:3 comment="TmHgH PBE relaxed" sg="R-3 (148)" de_polymorph_mev_per_atom=73 energy_ev_per_atom=-3.17 pbc="T T T"
Tm -2.9716 -2.7305 5.4278
Tm -3.8505 1.2083 4.7442
Tm 0.8788 -3.9387 4.7442
Tm -0.8788 3.9387 5.4278
Tm 3.8505 -1.2083 5.4278
Tm 2.9716 2.7305 4.7442
Hg -0.7585 -1.5452 3.7495
Hg -0.9590 1.4295 3.7495
Hg -1.7174 -0.1157 6.4225
Hg 1.7174 0.1157 3.7495
Hg 0.9590 -1.4295 6.4225
Hg 0.7585 1.5452 6.4225
H -1.1898 -4.4540 4.1750
H -4.4522 -1.1966 5.9969
H -3.2623 3.2574 4.1750
H 3.2623 -3.2574 5.9969
H 4.4522 1.1966 4.1750
H 1.1898 4.4540 5.9969

---

(17)
6
Lattice="3.7117 0.0000 0.0000 0.0000 3.7117 0.0000 0.0000 0.0000 7.4594" Properties=species:S:1:pos:R:3 comment="TmHgH PBE relaxed" sg="P4/nmm (129)" de_polymorph_mev_per_atom=0 energy_ev_per_atom=-3.25 pbc="T T T"
Tm 0.9279 0.9279 1.1933
Tm 2.7838 2.7838 6.2660
Hg 0.9279 0.9279 4.5777
Hg 2.7838 2.7838 2.8817
H 0.9279 2.7838 0.0000
H 2.7838 0.9279 0.0000

---

(18)
16
Lattice="8.7792 0.0000 0.0000 0.0000 5.5280 0.0000 -1.6945 0.0000 6.7300" Properties=species:S:1:pos:R:3 comment="Tm2HgH PBE relaxed" sg="P2_1/c (14)" de_polymorph_mev_per_atom=0 energy_ev_per_atom=-3.49 pbc="T T T"
Tm 0.7091 1.3620 0.0835
Tm -0.1381 1.4020 3.4485
Tm 1.0328 3.9246 5.7771
Tm 1.8800 4.3674 2.4121
Tm 5.2046 1.1606 4.3178
Tm 6.0519 1.6034 0.9528
Tm 7.2227 4.1260 3.2815
Tm 6.3755 4.1660 6.6465
Hg 2.2476 1.1365 5.3016
Hg 3.0948 1.6275 1.9366
Hg 3.9898 3.9005 4.7934
Hg 4.8371 4.3914 1.4284
H -0.9193 2.9454 5.1755
H -0.0721 5.3465 1.8106
H 7.1567 0.1814 4.9194
H 8.0040 2.5825 1.5544

---

(19)
10
Lattice="6.5483 0.0000 0.0000 0.0000 3.5117 0.0000 -1.5839 0.0000 9.7404" Properties=species:S:1:pos:R:3 comment="Tm3HgH PBE relaxed" sg="P2_1/m (11)" de_polymorph_mev_per_atom=0 energy_ev_per_atom=-3.71 pbc="T T T"
Tm -0.0300 0.8779 3.5272
Tm 0.0613 0.8779 8.8723
Tm 1.6068 2.6338 6.1557
Tm 3.3576 0.8779 3.5848
Tm 4.9031 2.6338 0.8681
Tm 4.9943 2.6338 6.2133
Hg 1.6708 2.6338 1.6422
Hg 3.2935 0.8779 8.0983
H 0.0554 0.8779 6.6029
H 4.9090 2.6338 3.1375

---

(20)
3
Lattice="3.1581 0.0000 0.0000 -1.5790 2.7350 0.0000 0.0000 0.0000 5.7849" Properties=species:S:1:pos:R:3 comment="UHgH PBE relaxed" sg="P3m1 (156)" energy_ev_per_atom=-4.89 pbc="T T T"
U 0.0000 0.0000 0.0000
Hg 0.0000 1.8233 3.0081
H 1.5791 0.9117 1.1767

---

Number 1: M_tot 0.0 μB per formula unit, calculated density 10.31 g/cm3. Number 2: M_tot 0.0 μB per formula unit, calculated density 10.47 g/cm3. Number 3: M_tot 0.0 μB per formula unit, calculated density 11.32 g/cm3. Number 4: M_tot 0.0 μB per formula unit, calculated density 9.55 g/cm3. Number 5: M_tot 0.0 μB per formula unit, calculated density 10.49 g/cm3. Number 6: M_tot 0.0 μB per formula unit, calculated density 10.08 g/cm3. Number 7: M_tot 0.0 μB per formula unit, calculated density 9.30 g/cm3. Number 8: M_tot 0.0 μB per formula unit, calculated density 10.76 g/cm3. Number 9: M_tot 0.0 μB per formula unit, calculated density 6.05 g/cm3. Number 10: M_tot 1.5 μB per formula unit, calculated density 11.00 g/cm3. Number 11: M_tot 0.0 μB per formula unit, calculated density 11.81 g/cm3. Number 12: M_tot 0.0 μB per formula unit, calculated density 11.12 g/cm3. Number 13: M_tot 0.3 μB per formula unit, calculated density 11.08 g/cm3. Number 14: M_tot 0.0 μB per formula unit, calculated density 11.10 g/cm3. Number 15: M_tot 0.0 μB per formula unit, calculated density 10.87 g/cm3. Number 16: M_tot 0.0 μB per formula unit, calculated density 11.68 g/cm3. Number 17: M_tot 0.0 μB per formula unit, calculated density 11.97 g/cm3. Number 18: M_tot 0.0 μB per formula unit, calculated density 10.97 g/cm3. Number 19: M_tot 0.0 μB per formula unit, calculated density 10.50 g/cm3. Number 20: M_tot 2.4 μB per formula unit, calculated density 14.61 g/cm3.